[1]
DFT (PBE) results for TcSb2TeRh after structural relaxation.

a = 5.063 Å, b = 5.063 Å, c = 5.148 Å
α = 90.00°, β = 90.00°, γ = 90.00°
Fractional coordinates of all 5 atoms:
Sb (0.000, 0.500, 0.000)
Sb (0.500, 0.000, 0.000)
Te (0.000, 0.000, 0.500)
Rh (0.500, 0.500, 0.500)
Tc (0.000, 0.000, 0.000)

Output
magnetic moment	0.00	μB/f.u.
space group	No. 123
E_form (uncorrected)	20.05	kcal/mol of atoms
excess energy over the best structure of this formula in the dataset	0	meV per atom

=====

[2]
DFT (PBE) results for ZnTcSbRh after structural relaxation.

a = 4.451 Å, b = 4.451 Å, c = 4.451 Å
α = 60.00°, β = 60.00°, γ = 60.00°
Fractional coordinates of all 4 atoms:
Sb (0.250, 0.250, 0.250)
Zn (0.750, 0.750, 0.750)
Rh (0.000, 0.000, 0.000)
Tc (0.500, 0.500, 0.500)

Output
magnetic moment	0.00	μB/f.u.
space group	No. 216
E_form (uncorrected)	-3.47	kcal/mol of atoms

=====

[3]
DFT (PBE) results for ZrTcSbRh after structural relaxation.

a = 4.621 Å, b = 4.621 Å, c = 4.621 Å
α = 60.00°, β = 60.00°, γ = 60.00°
Each line ends with the local moment (μB).
Fractional coordinates of all 4 atoms:
Sb (0.000, 0.000, 0.000)  0.01
Rh (0.750, 0.750, 0.750)  0.23
Tc (0.250, 0.250, 0.250)  0.27
Zr (0.500, 0.500, 0.500)  0.01

Output
magnetic moment	0.54	μB/f.u.
space group	No. 216
E_form (uncorrected)	-9.60	kcal/mol of atoms

=====

[4]
DFT (PBE) results for Sb2TeRh after structural relaxation.

a = 8.498 Å, b = 8.498 Å, c = 8.498 Å
α = 25.65°, β = 25.65°, γ = 25.65°
Fractional coordinates of all 4 atoms:
Sb (0.984, 0.984, 0.984)
Sb (0.742, 0.742, 0.742)
Te (0.524, 0.524, 0.524)
Rh (0.250, 0.250, 0.250)

Output
magnetic moment	0.00	μB/f.u.
space group	No. 160
E_form (uncorrected)	-1.85	kcal/mol of atoms

=====

[5]
DFT (PBE) results for Sb2TeRh2 after structural relaxation.

a = 4.343 Å, b = 4.343 Å, c = 6.674 Å
α = 71.01°, β = 71.01°, γ = 90.00°
Fractional coordinates of all 5 atoms:
Sb (0.376, 0.376, 0.249)
Sb (0.624, 0.624, 0.751)
Te (0.000, 0.000, 0.000)
Rh (0.750, 0.250, 0.500)
Rh (0.250, 0.750, 0.500)

Output
magnetic moment	0.00	μB/f.u.
space group	No. 139
E_form (uncorrected)	-1.48	kcal/mol of atoms
excess energy over the best structure of this formula in the dataset	81	meV per atom

=====

[6]
DFT (PBE) results for Sb2TeRh after structural relaxation.

a = 5.099 Å, b = 5.099 Å, c = 3.709 Å
α = 90.00°, β = 90.00°, γ = 104.97°
Fractional coordinates of all 4 atoms:
Sb (0.500, 0.000, 0.000)
Sb (0.000, 0.500, 0.000)
Te (0.000, 0.000, 0.500)
Rh (0.500, 0.500, 0.500)

Output
magnetic moment	0.00	μB/f.u.
space group	No. 65
E_form (uncorrected)	6.34	kcal/mol of atoms

=====

[7]
DFT (PBE) results for Sb2TeRh after structural relaxation.

a = 6.377 Å, b = 6.377 Å, c = 7.823 Å
α = 65.95°, β = 65.95°, γ = 90.00°
Fractional coordinates of all 8 atoms:
Sb (0.553, 0.125, 0.250)
Sb (0.197, 0.625, 0.250)
Sb (0.375, 0.447, 0.750)
Sb (0.875, 0.803, 0.750)
Te (0.000, 0.000, 0.000)
Te (0.750, 0.250, 0.500)
Rh (0.500, 0.500, 0.000)
Rh (0.250, 0.750, 0.500)

Output
magnetic moment	0.00	μB/f.u.
space group	No. 122
E_form (uncorrected)	0.55	kcal/mol of atoms

=====

[8]
DFT (PBE) results for Sb2TeRh after structural relaxation.

a = 4.305 Å, b = 4.305 Å, c = 5.051 Å
α = 90.00°, β = 90.00°, γ = 90.00°
Fractional coordinates of all 4 atoms:
Sb (0.000, 0.500, 0.000)
Sb (0.500, 0.000, 0.000)
Te (0.500, 0.500, 0.500)
Rh (0.000, 0.000, 0.500)

Output
magnetic moment	0.00	μB/f.u.
space group	No. 123
E_form (uncorrected)	7.76	kcal/mol of atoms

=====

[9]
DFT (PBE) results for Sb2Te2Rh3 after structural relaxation.

a = 6.828 Å, b = 6.880 Å, c = 6.920 Å
α = 71.68°, β = 90.00°, γ = 90.00°
Fractional coordinates of all 14 atoms:
Sb (0.652, 0.376, 0.380)
Sb (0.152, 0.124, 0.620)
Sb (0.848, 0.876, 0.380)
Sb (0.348, 0.624, 0.620)
Te (0.337, 0.124, 0.131)
Te (0.163, 0.624, 0.131)
Te (0.837, 0.376, 0.869)
Te (0.663, 0.876, 0.869)
Rh (0.500, 0.500, 0.000)
Rh (0.000, 0.000, 0.000)
Rh (0.977, 0.257, 0.269)
Rh (0.477, 0.243, 0.731)
Rh (0.523, 0.757, 0.269)
Rh (0.023, 0.743, 0.731)

Output
magnetic moment	0.00	μB/f.u.
space group	No. 14
E_form (uncorrected)	-9.01	kcal/mol of atoms

=====

[10]
DFT (PBE) results for SbTe2Rh2 after structural relaxation.

a = 4.445 Å, b = 4.445 Å, c = 6.518 Å
α = 70.06°, β = 70.06°, γ = 90.00°
Fractional coordinates of all 5 atoms:
Sb (0.000, 0.000, 0.000)
Te (0.750, 0.250, 0.500)
Te (0.250, 0.750, 0.500)
Rh (0.383, 0.383, 0.233)
Rh (0.617, 0.617, 0.767)

Output
magnetic moment	0.00	μB/f.u.
space group	No. 139
E_form (uncorrected)	3.31	kcal/mol of atoms

=====

[11]
DFT (PBE) results for SbTeRh after structural relaxation.

a = 3.884 Å, b = 3.884 Å, c = 5.442 Å
α = 90.00°, β = 90.00°, γ = 120.00°
Fractional coordinates of all 3 atoms:
Sb (0.667, 0.333, 0.265)
Te (0.333, 0.667, 0.733)
Rh (0.000, 0.000, 0.002)

Output
magnetic moment	0.00	μB/f.u.
space group	No. 156
E_form (uncorrected)	-6.48	kcal/mol of atoms

=====

[12]
DFT (PBE) results for SbTeRh after structural relaxation.

a = 4.634 Å, b = 4.634 Å, c = 4.634 Å
α = 60.00°, β = 60.00°, γ = 60.00°
Fractional coordinates of all 3 atoms:
Sb (0.000, 0.000, 0.000)
Te (0.500, 0.500, 0.500)
Rh (0.250, 0.250, 0.250)

Output
magnetic moment	0.00	μB/f.u.
space group	No. 216
E_form (uncorrected)	-6.69	kcal/mol of atoms

=====

Q: Which of these has the lowest E_form (uncorrected)?
A: ZrTcSbRh

=====

Please write out number 2 again, unchanged.
DFT (PBE) results for ZnTcSbRh after structural relaxation.

a = 4.451 Å, b = 4.451 Å, c = 4.451 Å
α = 60.00°, β = 60.00°, γ = 60.00°
Fractional coordinates of all 4 atoms:
Sb (0.250, 0.250, 0.250)
Zn (0.750, 0.750, 0.750)
Rh (0.000, 0.000, 0.000)
Tc (0.500, 0.500, 0.500)

Output
magnetic moment	0.00	μB/f.u.
space group	No. 216
E_form (uncorrected)	-3.47	kcal/mol of atoms

=====

Q: magnetic moment of number 12 (SbTeRh)?
A: 0.00 μB/f.u.